No. 1
Nd2PuSi3Pt4 | PBE-GGA | optimized geometry

Computed properties:
Space group: P-4m2 (115)
Density in g/cm³: 11.7
N(E_F) in states/eV/atom: 1.11
E_form (uncorrected) in meV/atom: -960.2

abc: 4.2826 4.2826 10.8486
angles: 90.00 90.00 90.00
Closest atoms and distances in Å follow each position.
Element x y z (fractional)
Nd (0.0000, 0.5000, 0.2290)  8 Pt 3.24-3.28, 4 Si 3.27
Nd (0.5000, 0.0000, 0.7710)  8 Pt 3.24-3.28, 4 Si 3.27
Pu (0.0000, 0.0000, 0.5000)  4 Pt 2.78, 4 Si 3.03
Si (0.0000, 0.5000, 0.8836)  5 Pt 2.38-2.49
Si (0.5000, 0.0000, 0.1164)  5 Pt 2.38-2.49
Si (0.5000, 0.5000, 0.5000)  4 Pt 2.78, 4 Pu 3.03
Pt (0.0000, 0.0000, 0.0000)  4 Si 2.49
Pt (0.0000, 0.5000, 0.6639)  1 Si 2.38
Pt (0.5000, 0.0000, 0.3361)  1 Si 2.38
Pt (0.5000, 0.5000, 0.0000)  4 Si 2.49


No. 2
Li5Cd2Ga2 | PBE-GGA | optimized geometry

Computed properties:
Formation enthalpy at 0 K in eV per atom: -0.2404
Space group: Fmmm (69)
Density in g/cm³: 4.3
N(E_F) in states/eV/atom: 0.24
ΔE to the lowest computed polymorph in eV/f.u.: 0.00

abc: 8.3461 7.1167 5.4353
angles: 82.18 57.65 40.18
Closest atoms and distances in Å follow each position.
Element x y z (fractional)
Li (0.0000, 0.0000, 0.0000)  4 Li 2.76, 4 Cd 2.78
Li (0.0059, 0.6670, 0.3330)  3 Ga 2.67-2.85, 4 Li 2.76-2.82, 1 Cd 2.77
Li (0.3330, 0.9941, 0.0059)  3 Ga 2.67-2.85, 4 Li 2.76-2.82, 1 Cd 2.77
Li (0.6670, 0.0059, 0.9941)  3 Ga 2.67-2.85, 4 Li 2.76-2.82, 1 Cd 2.77
Li (0.9941, 0.3330, 0.6670)  3 Ga 2.67-2.85, 4 Li 2.76-2.82, 1 Cd 2.77
Cd (0.3401, 0.6599, 0.3401)  4 Li 2.77-2.78, 2 Cd 2.90, 2 Ga 2.91
Cd (0.6599, 0.3401, 0.6599)  4 Li 2.77-2.78, 2 Cd 2.90, 2 Ga 2.91
Ga (0.3184, 0.3184, 0.6816)  6 Li 2.67-2.85, 2 Cd 2.91, 2 Ga 2.94
Ga (0.6816, 0.6816, 0.3184)  6 Li 2.67-2.85, 2 Cd 2.91, 2 Ga 2.94